# 1
Material: AgSe2I
Method: DFT, GGA-PBE
State: optimized geometry

Summary:
**Energy relative to the lowest polymorph listed for this composition**: 0.391 eV per atom
**Space group**: No. 166
**Formation energy from raw total energies**: 1.33 eV per formula unit

Lattice parameters (Å, degrees): 13.5745 13.5745 13.5745 13.33 13.33 13.33
With the nearest neighbours (Å) after each atom.
Element x y z (fractional)
I 0.5000 0.5000 0.5000  6 I 3.15
Se 0.9377 0.9377 0.9377  1 Ag 2.51
Se 0.0623 0.0623 0.0623  1 Ag 2.51
Ag 0.0000 0.0000 0.0000  2 Se 2.51

***

# 2
Material: CsNa2LiTl
Method: DFT, GGA-PBE
State: optimized geometry

Summary:
**Energy relative to the lowest polymorph listed for this composition**: 0.000 eV per atom
**Space group**: No. 123
**DFT formation energy**: 0.003 eV per atom

Lattice parameters (Å, degrees): 6.1535 6.1535 5.6846 90.00 90.00 90.00
With the nearest neighbours (Å) after each atom.
Element x y z (fractional)
Cs 0.5000 0.5000 0.5000  8 Na 4.19, 4 Li 4.35
Na 0.0000 0.5000 0.0000  2 Tl 3.08
Na 0.5000 0.0000 0.0000  2 Tl 3.08
Tl 0.0000 0.0000 0.0000  2 Li 2.84, 4 Na 3.08
Li 0.0000 0.0000 0.5000  2 Tl 2.84

***

# 3
Material: Li2CaInCl8
Method: DFT, GGA-PBE
State: optimized geometry

Summary:
**Space group**: No. 147
**Formation energy from raw total energies**: -16.59 eV per formula unit

Lattice parameters (Å, degrees): 7.5353 7.5353 7.1858 90.00 90.00 120.00
With the nearest neighbours (Å) after each atom.
Element x y z (fractional)
Li 0.6667 0.3333 0.2123  4 Cl 2.30-2.45
Li 0.3333 0.6667 0.7877  4 Cl 2.30-2.45
Ca 0.0000 0.0000 0.0000  6 Cl 2.80
In 0.0000 0.0000 0.5000  6 Cl 2.56
Cl 0.3333 0.6667 0.1074  1 Li 2.30
Cl 0.3007 0.1902 0.2756  1 Li 2.45, 1 In 2.56
Cl 0.8098 0.1105 0.2756  1 Li 2.45, 1 In 2.56
Cl 0.6667 0.3333 0.8926  1 Li 2.30
Cl 0.1902 0.8895 0.7244  1 Li 2.45, 1 In 2.56
Cl 0.6993 0.8098 0.7244  1 Li 2.45, 1 In 2.56
Cl 0.1105 0.3007 0.7244  1 Li 2.45, 1 In 2.56
Cl 0.8895 0.6993 0.2756  1 Li 2.45, 1 In 2.56

***

# 4
Material: Hf3Zn2Re
Method: DFT, GGA-PBE
State: optimized geometry

Summary:
**Energy relative to the lowest polymorph listed for this composition**: 0.015 eV per atom
**Space group**: No. 164
**DFT formation energy**: -0.298 eV per atom

Lattice parameters (Å, degrees): 4.6602 4.6602 5.7232 90.00 90.00 120.00
With the nearest neighbours (Å) after each atom.
Element x y z (fractional)
Hf 0.0000 0.0000 0.5000  2 Re 2.86, 6 Zn 2.87
Hf 0.6667 0.3333 0.8331  5 Zn 2.82-2.90, 3 Re 2.86
Hf 0.3333 0.6667 0.1669  5 Zn 2.82-2.90, 3 Re 2.86
Zn 0.6667 0.3333 0.3261  8 Hf 2.82-2.90
Zn 0.3333 0.6667 0.6739  8 Hf 2.82-2.90
Re 0.0000 0.0000 0.0000  8 Hf 2.86

***

# 5
Material: Y3Tm3Th
Method: DFT, GGA-PBE
State: optimized geometry

Summary:
**Energy relative to the lowest polymorph listed for this composition**: 0.000 eV per atom
**Space group**: No. 176
**DFT formation energy**: 0.013 eV per atom

Lattice parameters (Å, degrees): 5.6502 9.5248 9.5248 120.00 90.00 90.00
With the nearest neighbours (Å) after each atom.
Element x y z (fractional)
Y 0.2500 0.8110 0.7573  5 Tm 3.52-3.69, 6 Y 3.52-3.64, 1 Th 3.56
Y 0.2500 0.2427 0.0537  5 Tm 3.52-3.69, 6 Y 3.52-3.64, 1 Th 3.56
Y 0.2500 0.9463 0.1890  5 Tm 3.52-3.69, 6 Y 3.52-3.64, 1 Th 3.56
Y 0.7500 0.1890 0.2427  5 Tm 3.52-3.69, 6 Y 3.52-3.64, 1 Th 3.56
Y 0.7500 0.7573 0.9463  5 Tm 3.52-3.69, 6 Y 3.52-3.64, 1 Th 3.56
Y 0.7500 0.0537 0.8110  5 Tm 3.52-3.69, 6 Y 3.52-3.64, 1 Th 3.56
Tm 0.7500 0.6145 0.5186  4 Tm 3.48-3.56, 3 Th 3.50-3.60, 5 Y 3.52-3.69
Tm 0.7500 0.4814 0.0959  4 Tm 3.48-3.56, 3 Th 3.50-3.60, 5 Y 3.52-3.69
Tm 0.7500 0.9041 0.3855  4 Tm 3.48-3.56, 3 Th 3.50-3.60, 5 Y 3.52-3.69
Tm 0.2500 0.3855 0.4814  4 Tm 3.48-3.56, 3 Th 3.50-3.60, 5 Y 3.52-3.69
Tm 0.2500 0.5186 0.9041  4 Tm 3.48-3.56, 3 Th 3.50-3.60, 5 Y 3.52-3.69
Tm 0.2500 0.0959 0.6145  4 Tm 3.48-3.56, 3 Th 3.50-3.60, 5 Y 3.52-3.69
Th 0.2500 0.6667 0.3333  9 Tm 3.50-3.60, 3 Y 3.56
Th 0.7500 0.3333 0.6667  9 Tm 3.50-3.60, 3 Y 3.56

***

# 6
Material: LiAlFePb2
Method: DFT, GGA-PBE
State: optimized geometry

Summary:
**Space group**: No. 123
**DFT formation energy**: 0.500 eV per atom

Lattice parameters (Å, degrees): 5.0295 4.7816 5.0295 90.00 90.00 90.00
With the nearest neighbours (Å) after each atom.
Element x y z (fractional)
Pb 0.0000 0.0000 0.5000  2 Fe 2.51
Pb 0.5000 0.0000 0.0000  2 Fe 2.51
Li 0.0000 0.5000 0.0000  2 Fe 2.39
Fe 0.0000 0.0000 0.0000  2 Li 2.39, 4 Pb 2.51
Al 0.5000 0.5000 0.5000  8 Pb 3.47, 4 Li 3.56

***

# 7
Material: RbSrS2Cl
Method: DFT, GGA-PBE
State: optimized geometry

Summary:
**Energy relative to the lowest polymorph listed for this composition**: 0.000 eV per atom
**Space group**: No. 123
**Formation energy from raw total energies**: -5.09 eV per formula unit

Lattice parameters (Å, degrees): 5.7834 5.7834 5.7350 90.00 90.00 90.00
With the nearest neighbours (Å) after each atom.
Element x y z (fractional)
Sr 0.0000 0.0000 0.0000  2 Cl 2.87, 4 S 2.89
S 0.0000 0.5000 0.0000  2 Sr 2.89
S 0.5000 0.0000 0.0000  2 Sr 2.89
Rb 0.5000 0.5000 0.5000  8 S 4.07, 4 Cl 4.09
Cl 0.0000 0.0000 0.5000  2 Sr 2.87

***

# 8
Material: Ba2Ga3CuSn4
Method: DFT, GGA-PBE
State: optimized geometry

Summary:
**Space group**: No. 115
**DFT formation energy**: -0.362 eV per atom

Lattice parameters (Å, degrees): 4.9810 4.9810 10.9372 90.00 90.00 90.00
With the nearest neighbours (Å) after each atom.
Element x y z (fractional)
Ba 0.5000 0.0000 0.2649  2 Cu 3.58, 6 Ga 3.58-3.81, 9 Sn 3.75-3.86
Ba 0.0000 0.5000 0.7351  2 Cu 3.58, 6 Ga 3.58-3.81, 9 Sn 3.75-3.86
Ga 0.0000 0.0000 0.5000  4 Sn 2.80
Ga 0.5000 0.0000 0.8681  5 Sn 2.74-2.88
Ga 0.0000 0.5000 0.1319  5 Sn 2.74-2.88
Cu 0.5000 0.5000 0.5000  4 Sn 2.80
Sn 0.5000 0.5000 0.0000  4 Ga 2.88
Sn 0.0000 0.0000 0.0000  4 Ga 2.88
Sn 0.5000 0.0000 0.6174  3 Ga 2.74-2.80, 2 Cu 2.80
Sn 0.0000 0.5000 0.3826  3 Ga 2.74-2.80, 2 Cu 2.80

***

| no. | E_tot (eV per atom) |
| --- | --- |
| 1 | -2.5103 |
| 2 | -1.5512 |
| 3 | -3.3272 |
| 4 | -7.7739 |
| 5 | -5.7334 |
| 6 | -3.8067 |
| 7 | -3.5677 |
| 8 | -3.6653 |